No. 1
! MgAlZn2Au4 (GGA-PBE, relaxed); values from VASP
&SYSTEM
  ibrav = 0, nat = 8, ntyp = 4
/
ATOMIC_SPECIES
Mg 24.30 Mg.upf
Al 26.98 Al.upf
Zn 65.41 Zn.upf
Au 196.97 Au.upf
ATOMIC_POSITIONS crystal
Mg 0.000 0.000 0.000
Al 0.500 0.500 0.500
Zn 0.255 0.255 0.255
Zn 0.745 0.745 0.745
Au 0.129 0.129 0.129
Au 0.381 0.381 0.381
Au 0.619 0.619 0.619
Au 0.871 0.871 0.871
CELL_PARAMETERS angstrom
2.272 1.311 7.486
-2.272 1.311 7.486
0.000 -2.623 7.486
! - energy relative to the elements (eV/atom) = -0.348
! - space group = R-3m
! - crystal system = trigonal

***

No. 2
! Mg4ZnGa4 (GGA-PBE, relaxed); values from VASP
&SYSTEM
  ibrav = 0, nat = 9, ntyp = 3
/
ATOMIC_SPECIES
Mg 24.30 Mg.upf
Zn 65.41 Zn.upf
Ga 69.72 Ga.upf
ATOMIC_POSITIONS crystal
Mg 0.211 0.211 0.609
Mg 0.398 0.789 0.000
Mg 0.602 0.602 0.391
Mg 0.789 0.398 0.000
Zn 0.000 0.000 0.000
Ga 0.039 0.618 0.000
Ga 0.382 0.382 0.420
Ga 0.618 0.039 0.000
Ga 0.961 0.961 0.580
CELL_PARAMETERS angstrom
-2.820 2.820 5.919
2.820 -2.820 5.919
2.820 2.820 -5.919
! - energy relative to the elements (eV/atom) = 0.022
! - space group = I-42m
! - crystal system = tetragonal

***

No. 3
! MgCd2Pt (GGA-PBE, relaxed); values from VASP
&SYSTEM
  ibrav = 0, nat = 4, ntyp = 3
/
ATOMIC_SPECIES
Mg 24.30 Mg.upf
Cd 112.41 Cd.upf
Pt 195.08 Pt.upf
ATOMIC_POSITIONS crystal
Mg 0.000 0.000 0.000
Cd 0.524 0.524 0.532
Cd 0.763 0.763 0.284
Pt 0.269 0.269 0.800
CELL_PARAMETERS angstrom
4.914 -1.518 0.000
4.914 1.518 0.000
-1.096 0.000 5.047
! - energy relative to the elements (eV/atom) = -0.280
! - space group = Cm
! - crystal system = monoclinic

***

No. 4
! TaCdSi (GGA-PBE, relaxed); values from VASP
&SYSTEM
  ibrav = 0, nat = 3, ntyp = 3
/
ATOMIC_SPECIES
Ta 180.95 Ta.upf
Cd 112.41 Cd.upf
Si 28.09 Si.upf
ATOMIC_POSITIONS crystal
Ta 0.000 0.000 0.000
Cd 0.674 0.674 0.000
Si 0.359 0.359 0.000
CELL_PARAMETERS angstrom
-1.430 1.430 6.718
1.430 -1.430 6.718
1.430 1.430 -6.718
! - space group = I4mm
! - energy relative to the elements, uncorrected (eV per formula unit) = 0.848
! - excess energy over the best structure of this formula in the dataset (eV per atom) = 0.055
! - crystal system = tetragonal

***

No. 5
! Fe2BiPdRh (GGA-PBE, relaxed); values from VASP
&SYSTEM
  ibrav = 0, nat = 5, ntyp = 4
/
ATOMIC_SPECIES
Fe 55.84 Fe.upf
Bi 208.98 Bi.upf
Pd 106.42 Pd.upf
Rh 102.91 Rh.upf
ATOMIC_POSITIONS crystal
Fe 0.000 0.500 0.000
Fe 0.500 0.000 0.000
Bi 0.000 0.000 0.500
Pd 0.500 0.500 0.500
Rh 0.000 0.000 0.000
CELL_PARAMETERS angstrom
4.664 0.000 0.000
0.000 4.664 0.000
0.000 0.000 5.037
! - energy relative to the elements (eV/atom) = 0.939
! - space group = P4/mmm
! - crystal system = tetragonal

***

No. 6
! Ca2ZrCd (GGA-PBE, relaxed); values from VASP
&SYSTEM
  ibrav = 0, nat = 4, ntyp = 3
/
ATOMIC_SPECIES
Ca 40.08 Ca.upf
Zr 91.22 Zr.upf
Cd 112.41 Cd.upf
ATOMIC_POSITIONS crystal
Ca 0.000 0.000 0.000
Ca 0.500 0.500 0.332
Zr 0.500 0.500 0.742
Cd 0.000 0.000 0.558
CELL_PARAMETERS angstrom
3.533 0.000 0.000
0.000 3.533 0.000
0.000 0.000 9.578
! - energy relative to the elements (eV/atom) = 0.051
! - space group = P4mm
! - crystal system = tetragonal

***

No. 7
! SnBi3Au (GGA-PBE, relaxed); values from VASP
&SYSTEM
  ibrav = 0, nat = 20, ntyp = 3
/
ATOMIC_SPECIES
Sn 118.71 Sn.upf
Bi 208.98 Bi.upf
Au 196.97 Au.upf
ATOMIC_POSITIONS crystal
Sn 0.015 0.206 0.153
Sn 0.206 0.015 0.653
Sn 0.794 0.985 0.347
Sn 0.985 0.794 0.847
Bi 0.118 0.312 0.896
Bi 0.263 0.647 0.455
Bi 0.305 0.399 0.709
Bi 0.312 0.118 0.396
Bi 0.353 0.737 0.045
Bi 0.399 0.305 0.209
Bi 0.601 0.695 0.791
Bi 0.647 0.263 0.955
Bi 0.688 0.882 0.604
Bi 0.695 0.601 0.291
Bi 0.737 0.353 0.545
Bi 0.882 0.688 0.104
Au 0.000 0.500 0.500
Au 0.174 0.826 0.250
Au 0.500 0.000 0.000
Au 0.826 0.174 0.750
CELL_PARAMETERS angstrom
6.451 -3.764 0.000
6.451 3.764 0.000
-3.136 0.000 12.318
! - energy relative to the elements (eV/atom) = 0.028
! - space group = C2/c
! - excess energy over the best structure of this formula in the dataset (eV per atom) = 0.000
! - crystal system = monoclinic

***

No. 8
! CaTlIr2 (GGA-PBE, relaxed); values from VASP
&SYSTEM
  ibrav = 0, nat = 8, ntyp = 3
/
ATOMIC_SPECIES
Ca 40.08 Ca.upf
Tl 204.38 Tl.upf
Ir 192.22 Ir.upf
ATOMIC_POSITIONS crystal
Ca 0.000 0.000 0.000
Ca 0.750 0.250 0.500
Tl 0.250 0.750 0.500
Tl 0.500 0.500 0.000
Ir 0.153 0.625 0.028
Ir 0.375 0.403 0.528
Ir 0.597 0.125 0.972
Ir 0.875 0.847 0.472
CELL_PARAMETERS angstrom
-3.876 3.876 2.845
3.876 -3.876 2.845
3.876 3.876 -2.845
! - energy relative to the elements (eV/atom) = 0.560
! - space group = I-42d
! - crystal system = tetragonal

***

No. 9
! Tl2Si2Ge (GGA-PBE, relaxed); values from VASP
&SYSTEM
  ibrav = 0, nat = 10, ntyp = 3
/
ATOMIC_SPECIES
Tl 204.38 Tl.upf
Si 28.09 Si.upf
Ge 72.64 Ge.upf
ATOMIC_POSITIONS crystal
Tl 0.187 0.313 0.000
Tl 0.313 0.813 0.000
Tl 0.687 0.187 0.000
Tl 0.813 0.687 0.000
Si 0.128 0.628 0.500
Si 0.372 0.128 0.500
Si 0.628 0.872 0.500
Si 0.872 0.372 0.500
Ge 0.000 0.000 0.500
Ge 0.500 0.500 0.500
CELL_PARAMETERS angstrom
6.508 0.000 0.000
0.000 6.508 0.000
0.000 0.000 5.714
! - space group = P4/mbm
! - energy relative to the elements, uncorrected (eV per formula unit) = 1.740
! - crystal system = tetragonal

***

No. 10
! TbPmTm6 (GGA-PBE, relaxed); values from VASP
&SYSTEM
  ibrav = 0, nat = 8, ntyp = 3
/
ATOMIC_SPECIES
Tb 158.93 Tb.upf
Pm 145.00 Pm.upf
Tm 168.93 Tm.upf
ATOMIC_POSITIONS crystal
Tb 0.000 0.000 0.000
Pm 0.500 0.500 0.500
Tm 0.027 0.481 0.249
Tm 0.252 0.252 0.751
Tm 0.481 0.027 0.249
Tm 0.519 0.973 0.751
Tm 0.748 0.748 0.249
Tm 0.973 0.519 0.751
CELL_PARAMETERS angstrom
3.470 -6.075 0.000
3.470 6.075 0.000
-3.456 0.000 6.049
! - energy relative to the elements (eV/atom) = 0.433
! - space group = C2/m
! - excess energy over the best structure of this formula in the dataset (eV per atom) = 0.306
! - crystal system = monoclinic

***

No. 11
! PaInCuOs (GGA-PBE, relaxed); values from VASP
&SYSTEM
  ibrav = 0, nat = 4, ntyp = 4
/
ATOMIC_SPECIES
Pa 231.04 Pa.upf
In 114.82 In.upf
Cu 63.55 Cu.upf
Os 190.23 Os.upf
ATOMIC_POSITIONS crystal
Pa 0.000 0.000 0.000
In 0.500 0.500 0.500
Cu 0.250 0.250 0.250
Os 0.750 0.750 0.750
CELL_PARAMETERS angstrom
0.000 3.367 3.367
3.367 0.000 3.367
3.367 3.367 0.000
! - energy relative to the elements (eV/atom) = -0.004
! - space group = F-43m
! - crystal system = cubic

***

No. 12
! La14ErCd (GGA-PBE, relaxed); values from VASP
&SYSTEM
  ibrav = 0, nat = 16, ntyp = 3
/
ATOMIC_SPECIES
La 138.91 La.upf
Er 167.26 Er.upf
Cd 112.41 Cd.upf
ATOMIC_POSITIONS crystal
La 0.000 0.000 0.000
La 0.000 0.500 0.000
La 0.000 0.500 0.500
La 0.246 0.246 0.255
La 0.246 0.246 0.745
La 0.246 0.754 0.255
La 0.246 0.754 0.745
La 0.500 0.000 0.000
La 0.500 0.000 0.500
La 0.500 0.500 0.000
La 0.754 0.246 0.255
La 0.754 0.246 0.745
La 0.754 0.754 0.255
La 0.754 0.754 0.745
Er 0.500 0.500 0.500
Cd 0.000 0.000 0.500
CELL_PARAMETERS angstrom
7.324 0.000 0.000
0.000 7.324 0.000
0.000 0.000 10.474
! - energy relative to the elements (eV/atom) = -0.029
! - space group = P4/mmm
! - crystal system = tetragonal

***

no.,calculated total energy (eV per formula unit)
1,-23.78
2,-19.57
3,-10.59
4,-17.34
5,-28.66
6,-13.26
7,-18.78
8,-19.85
9,-18.46
10,-32.74
11,-27.58
12,-74.93